! NiAsPO2, relaxed, DFT PBE+U; values from VASP
! E above lowest polymorph = 247 meV per atom
! energy = -4.29 eV per atom
&SYSTEM
  ibrav = 0, nat = 5, ntyp = 4
/
ATOMIC_SPECIES
Ni 58.69 Ni.upf
As 74.92 As.upf
P 30.97 P.upf
O 16.00 O.upf
CELL_PARAMETERS angstrom
3.697 0.000 0.000
0.000 3.697 0.000
0.000 0.000 4.595
ATOMIC_POSITIONS angstrom
Ni 0.000 0.000 0.000
As 1.849 1.849 2.297
P 0.000 0.000 2.297
O 0.000 1.849 0.000
O 1.849 0.000 0.000